[1]
Below is an optimized crystal structure of Pr4ThTl5, with properties calculated at the PBE level.

POSCAR file:
```
Pr4ThTl5
1.0
3.724 0.000 0.000
0.000 3.724 0.000
0.000 0.000 21.700
Pr Th Tl
4 1 5
Cartesian
0.000 0.000 2.165 Pr
0.000 0.000 6.499 Pr
0.000 0.000 15.201 Pr
0.000 0.000 19.535 Pr
0.000 0.000 10.850 Th
1.862 1.862 0.000 Tl
1.862 1.862 4.324 Tl
1.862 1.862 8.658 Tl
1.862 1.862 13.042 Tl
1.862 1.862 17.376 Tl
```

Computed properties:
Electronic total energy   -4.17 eV per atom
Energy relative to the elements   -337 meV per atom
Total magnetic moment   0.00 Bohr magnetons per cell

=====

[2]
Below is an optimized crystal structure of CoBr3, with properties calculated at the PBE level.

POSCAR file:
```
CoBr3
1.0
3.480 0.000 0.000
-1.740 3.014 0.000
0.000 0.000 10.328
Co Br
1 3
Cartesian
0.000 0.000 0.000 Co
0.000 0.000 5.164 Br
0.000 2.009 1.607 Br
0.000 2.009 8.720 Br
```

Computed properties:
Electronic total energy   -2.97 eV per atom
Total magnetic moment   3.53 Bohr magnetons per cell
ΔE_f (raw)   0.26 eV/f.u.

=====

[3]
Below is an optimized crystal structure of CsMnFe3, with properties calculated at the PBE level.

POSCAR file:
```
CsMnFe3
1.0
4.635 0.000 0.000
0.000 4.635 0.000
0.000 0.000 4.635
Cs Mn Fe
1 1 3
Cartesian
0.000 0.000 0.000 Cs
2.318 2.318 2.318 Mn
0.000 2.318 2.318 Fe
2.318 0.000 2.318 Fe
2.318 2.318 0.000 Fe
```

Computed properties:
Electronic total energy   -5.63 eV per atom
Energy relative to the elements   1451 meV per atom
Relative energy among the computed polymorphs   0 meV/atom
Total magnetic moment   7.17 Bohr magnetons per cell

=====

[4]
Below is an optimized crystal structure of NaAg3Sn2, with properties calculated at the PBE level.

POSCAR file:
```
NaAg3Sn2
1.0
9.107 -2.358 0.000
9.107 2.358 0.000
-1.675 0.000 6.347
Na Ag Sn
2 6 4
Cartesian
1.828 0.000 0.931 Na
14.711 0.000 5.416 Na
0.270 0.000 4.097 Ag
5.528 0.000 0.467 Ag
5.826 0.000 3.289 Ag
10.713 0.000 3.058 Ag
11.011 0.000 5.879 Ag
16.268 0.000 2.250 Ag
3.106 0.000 4.146 Sn
8.406 0.000 1.403 Sn
8.133 0.000 4.943 Sn
13.433 0.000 2.201 Sn
```

Computed properties:
Electronic total energy   -3.05 eV per atom
Energy relative to the elements   -65 meV per atom
Total magnetic moment   0.00 Bohr magnetons per cell

=====

[5]
Below is an optimized crystal structure of YVSn, with properties calculated at the PBE level.

POSCAR file:
```
YVSn
1.0
7.159 0.000 0.000
-3.580 6.200 0.000
0.000 0.000 4.635
Y V Sn
3 3 3
Cartesian
-2.055 3.559 0.000 Y
1.525 2.641 0.000 Y
4.109 0.000 0.000 Y
-0.709 1.228 2.317 V
1.418 0.000 2.317 V
2.870 4.972 2.317 V
0.000 0.000 0.000 Sn
0.000 4.133 2.317 Sn
3.580 2.067 2.317 Sn
```

Computed properties:
Electronic total energy   -6.82 eV per atom
Energy relative to the elements   -292 meV per atom
Relative energy among the computed polymorphs   0 meV/atom
Total magnetic moment   0.00 Bohr magnetons per cell

=====

[6]
Below is an optimized crystal structure of LiCa2Ga2Ag5, with properties calculated at the PBE level.

POSCAR file:
```
LiCa2Ga2Ag5
1.0
10.106 0.000 0.000
0.000 10.106 0.000
0.000 0.000 4.088
Li Ca Ga Ag
2 4 4 10
Cartesian
0.000 0.000 0.000 Li
5.053 5.053 0.000 Li
1.784 3.268 0.000 Ca
3.268 8.321 0.000 Ca
6.837 1.784 0.000 Ca
8.321 6.837 0.000 Ca
1.222 6.274 0.000 Ga
3.831 1.222 0.000 Ga
6.274 8.884 0.000 Ga
8.884 3.831 0.000 Ga
0.000 5.053 2.044 Ag
0.582 8.082 2.044 Ag
2.023 0.582 2.044 Ag
3.029 5.634 2.044 Ag
4.471 3.029 2.044 Ag
5.053 0.000 2.044 Ag
5.634 7.076 2.044 Ag
7.076 4.471 2.044 Ag
8.082 9.524 2.044 Ag
9.524 2.023 2.044 Ag
```

Computed properties:
Electronic total energy   -2.85 eV per atom
Energy relative to the elements   -230 meV per atom
Total magnetic moment   0.00 Bohr magnetons per cell